Mg6AlCrO8 | Alexandria via LeMat-Bulk | PBE with a Hubbard U | optimized geometry; relative energy among the computed polymorphs = 42 meV per atom; uncorrected energy = -6.162 eV per atom; symmetry = P4/mmm, No. 123
1.0
4.2753 0.0000 0.0000
0.0000 4.2753 0.0000
0.0000 0.0000 8.7660
Mg Al Cr O
6 1 1 8
Cartesian
0.0000 0.0000 0.0000
0.0000 2.1376 2.1804
0.0000 2.1376 6.5856
2.1376 0.0000 2.1804
2.1376 0.0000 6.5856
2.1376 2.1376 0.0000
0.0000 0.0000 4.3830
2.1376 2.1376 4.3830
0.0000 0.0000 2.3686
0.0000 0.0000 6.3973
0.0000 2.1376 0.0000
0.0000 2.1376 4.3830
2.1376 0.0000 0.0000
2.1376 0.0000 4.3830
2.1376 2.1376 2.0311
2.1376 2.1376 6.7349